# CaPbW2

A crystal of CaPbW2 relaxed with PBEsol (SCAN, Alexandria via LeMat-Bulk).

abc: 3.5676 4.9557 9.3698
angles: 90.00 90.00 90.00
Last column: nearest neighbours and their distance in Å.
Sites, in units of the cell vectors:
1 Ca 0.0000 0.0000 0.0000  8 W 3.08-3.30, 4 Pb 3.17-3.22
2 Ca 0.5000 0.5000 0.5000  8 W 3.08-3.30, 4 Pb 3.17-3.22
3 Pb 0.0000 0.5000 0.7801  8 W 3.07-3.31, 4 Ca 3.17-3.22
4 Pb 0.5000 0.0000 0.2801  8 W 3.07-3.31, 4 Ca 3.17-3.22
5 W 0.0000 0.0000 0.5463  2 W 2.50
6 W 0.0000 0.5000 0.2326  2 W 2.50
7 W 0.5000 0.0000 0.7326  2 W 2.50
8 W 0.5000 0.5000 0.0463  2 W 2.50

Values from the calculation:
Total magnetization   0.000 μB per atom
Calculated volume   20.71 A^3/atom
Space group   Imm2 (44)
Energy of formation   0.776 eV per atom

=====

# RbV2I3O13

A crystal of RbV2I3O13 relaxed with PBEsol (SCAN, Alexandria via LeMat-Bulk).

abc: 9.4356 9.4356 9.4356
angles: 85.97 114.36 131.14
Last column: nearest neighbours and their distance in Å.
Sites, in units of the cell vectors:
1 Rb 0.1113 0.2500 0.3613  7 O 2.86-3.15
2 Rb 0.8887 0.7500 0.6387  7 O 2.86-3.15
3 V 0.4692 0.1157 0.6101  3 O 1.64-1.83
4 V 0.4692 0.3590 0.8535  3 O 1.64-1.83
5 V 0.5056 0.6157 0.1465  3 O 1.64-1.83
6 V 0.5056 0.8590 0.3899  3 O 1.64-1.83
7 I 0.0003 0.2442 0.7416  3 O 1.82-1.90
8 I 0.0003 0.7586 0.2560  3 O 1.82-1.90
9 I 0.4994 0.9841 0.0153  3 O 1.82-1.89
10 I 0.5026 0.2586 0.2584  3 O 1.82-1.90
11 I 0.5026 0.7442 0.7440  3 O 1.82-1.90
12 I 0.9688 0.4841 0.9847  3 O 1.82-1.89
13 O 0.1110 0.4237 0.6341  1 I 1.82
14 O 0.1110 0.9770 0.1873  1 I 1.82
15 O 0.1146 0.6993 0.9153  1 I 1.82
16 O 0.1609 0.4090 0.9499  1 I 1.86
17 O 0.1609 0.7110 0.2519  1 I 1.86
18 O 0.1690 0.1863 0.7812  1 I 1.90, 1 V 1.91
19 O 0.1690 0.8878 0.4827  1 I 1.90, 1 V 1.91
20 O 0.3915 0.6573 0.2341  2 V 1.83
21 O 0.4051 0.3878 0.2188  1 I 1.90, 1 V 1.91
22 O 0.4051 0.6863 0.5173  1 I 1.90, 1 V 1.91
23 O 0.4232 0.1573 0.7659  2 V 1.83
24 O 0.4591 0.2110 0.0501  1 I 1.86
25 O 0.4591 0.9090 0.7481  1 I 1.86
26 O 0.4822 0.2718 0.5134  1 V 1.64
27 O 0.4822 0.4688 0.7104  1 V 1.64
28 O 0.5326 0.0080 0.2268  1 I 1.89, 1 V 1.99
29 O 0.5326 0.8058 0.0246  1 I 1.89, 1 V 1.99
30 O 0.5386 0.0386 0.5000  2 V 1.83
31 O 0.5386 0.5386 0.0000  2 V 1.83
32 O 0.7584 0.7718 0.2896  1 V 1.64
33 O 0.7584 0.9688 0.4866  1 V 1.64
34 O 0.7812 0.3058 0.7732  1 I 1.89, 1 V 1.99
35 O 0.7812 0.5080 0.9754  1 I 1.89, 1 V 1.99
36 O 0.7840 0.1993 0.0847  1 I 1.82
37 O 0.7896 0.4770 0.3659  1 I 1.82
38 O 0.7896 0.9237 0.8127  1 I 1.82

Values from the calculation:
VASP energy   -14.312 eV per atom
Total magnetization   0.000 μB per atom
Calculated volume   14.50 A^3/atom
Space group   Ima2 (46)

=====

# Cd2CuNiPb

A crystal of Cd2CuNiPb relaxed with PBEsol (SCAN, Alexandria via LeMat-Bulk).

abc: 5.4377 5.4377 4.8146
angles: 90.00 90.00 90.00
Last column: nearest neighbours and their distance in Å.
Sites, in units of the cell vectors:
1 Cd 0.0000 0.5000 0.0000  2 Pb 2.72
2 Cd 0.5000 0.0000 0.0000  2 Pb 2.72
3 Cu 0.0000 0.0000 0.5000  2 Pb 2.41
4 Ni 0.5000 0.5000 0.5000  8 Cd 3.63, 4 Cu 3.85
5 Pb 0.0000 0.0000 0.0000  2 Cu 2.41

Values from the calculation:
Total magnetization   0.260 μB per atom
Calculated volume   28.47 A^3/atom
Space group   P4/mmm (123)
Energy of formation   1.126 eV per atom